Density functional theory data (PBE) for an optimized crystal structure of PrPdRh2.

Structure (CIF):
```
data_PrPdRh2
_space_group_name_H-M_alt 'P 1'
_space_group_IT_number 1
_cell_length_a 4.185
_cell_length_b 4.185
_cell_length_c 4.123
_cell_angle_alpha 90.00
_cell_angle_beta 90.00
_cell_angle_gamma 90.00
loop_
_space_group_symop_operation_xyz
'x,y,z'
loop_
_atom_site_label
_atom_site_type_symbol
_atom_site_fract_x
_atom_site_fract_y
_atom_site_fract_z
_atom_site_occupancy
Pr1 Pr 0.000 0.000 0.000 1
Pd1 Pd 0.500 0.500 0.000 1
Rh1 Rh 0.000 0.500 0.500 1
Rh2 Rh 0.500 0.000 0.500 1
```

Summary:
* Fermi-level density of states: 4.55 states/eV/cell
* size of the total moment: 0.00 μB per cell
* DFT total energy: -6.557 eV per atom
* energy of formation from the pure elements: -388 meV per atom